(1)
! Y3Ga8Co3, optimized geometry, DFT PBE; values from VASP
! crystal system	orthorhombic
&SYSTEM
  ibrav = 0, nat = 14, ntyp = 3
/
ATOMIC_SPECIES
Y 88.91 Y.upf
Ga 69.72 Ga.upf
Co 58.93 Co.upf
ATOMIC_POSITIONS angstrom
Y 0.000 0.000 0.000
Y 0.000 0.000 3.969
Y 0.000 0.000 8.166
Ga 2.068 -1.308 1.993
Ga 2.068 -2.031 4.665
Ga 2.068 1.308 1.993
Ga 0.000 2.795 1.402
Ga 2.068 2.031 4.665
Ga 0.000 3.517 4.075
Ga 0.000 6.857 1.402
Ga 0.000 6.134 4.075
Co 2.068 2.750 0.000
Co 0.000 4.826 0.000
Co 0.000 2.076 6.068
CELL_PARAMETERS angstrom
-2.068 4.826 6.068
2.068 -4.826 6.068
2.068 4.826 -6.068

(2)
! Y2Ga5Co4, optimized geometry, DFT PBE; values from VASP
! crystal system	orthorhombic
&SYSTEM
  ibrav = 0, nat = 11, ntyp = 3
/
ATOMIC_SPECIES
Y 88.91 Y.upf
Ga 69.72 Ga.upf
Co 58.93 Co.upf
ATOMIC_POSITIONS angstrom
Y 2.625 4.629 2.205
Y 2.625 4.629 12.649
Ga 1.312 2.315 0.000
Ga 1.312 2.315 3.713
Ga 1.312 2.315 7.427
Ga 2.625 4.629 7.427
Ga 3.937 6.944 11.140
Co 2.625 3.184 5.535
Co 2.625 3.184 9.318
Co 2.625 6.074 5.535
Co 2.625 6.074 9.318
CELL_PARAMETERS angstrom
0.000 4.629 7.427
2.625 0.000 7.427
2.625 4.629 0.000

(3)
! Y2Ga5Co, optimized geometry, DFT PBE; values from VASP
! crystal system	tetragonal
&SYSTEM
  ibrav = 0, nat = 8, ntyp = 3
/
ATOMIC_SPECIES
Y 88.91 Y.upf
Ga 69.72 Ga.upf
Co 58.93 Co.upf
ATOMIC_POSITIONS angstrom
Y 3.011 0.000 0.000
Y 0.000 3.011 0.000
Ga 1.685 1.685 -2.171
Ga 1.326 -1.326 2.185
Ga -1.326 1.326 2.185
Ga 1.326 1.326 2.185
Ga 0.000 0.000 4.225
Co 0.000 0.000 6.574
CELL_PARAMETERS angstrom
-3.011 3.011 4.356
3.011 -3.011 4.356
3.011 3.011 -4.356

(4)
! YGaCo, optimized geometry, DFT PBE; values from VASP
! crystal system	orthorhombic
&SYSTEM
  ibrav = 0, nat = 12, ntyp = 3
/
ATOMIC_SPECIES
Y 88.91 Y.upf
Ga 69.72 Ga.upf
Co 58.93 Co.upf
ATOMIC_POSITIONS angstrom
Y 0.155 1.041 1.423
Y 3.220 3.122 5.215
Y 3.530 1.041 2.369
Y 6.595 3.122 6.162
Ga 1.080 1.041 4.304
Ga 2.296 3.122 0.512
Ga 4.455 1.041 7.073
Ga 5.671 3.122 3.281
Co 1.494 3.122 2.941
Co 1.881 1.041 6.733
Co 4.869 3.122 0.851
Co 5.256 1.041 4.643
CELL_PARAMETERS angstrom
6.750 0.000 0.000
0.000 4.163 0.000
0.000 0.000 7.584

(5)
! YGa8Co4, optimized geometry, DFT PBE; values from VASP
! crystal system	tetragonal
&SYSTEM
  ibrav = 0, nat = 13, ntyp = 3
/
ATOMIC_SPECIES
Y 88.91 Y.upf
Ga 69.72 Ga.upf
Co 58.93 Co.upf
ATOMIC_POSITIONS angstrom
Y 0.000 0.000 0.000
Ga 2.893 0.000 0.000
Ga 5.622 0.000 0.000
Ga 4.257 2.347 0.000
Ga 0.000 2.893 0.000
Ga 2.347 4.257 0.000
Ga 1.910 0.000 2.591
Ga 0.000 5.622 0.000
Ga 0.000 1.910 2.591
Co 2.129 2.129 -1.295
Co 2.129 -2.129 1.295
Co -2.129 2.129 1.295
Co 2.129 2.129 1.295
CELL_PARAMETERS angstrom
-4.257 4.257 2.591
4.257 -4.257 2.591
4.257 4.257 -2.591

(6)
! Y2Ga4Co5, optimized geometry, DFT PBE; values from VASP
! crystal system	orthorhombic
&SYSTEM
  ibrav = 0, nat = 11, ntyp = 3
/
ATOMIC_SPECIES
Y 88.91 Y.upf
Ga 69.72 Ga.upf
Co 58.93 Co.upf
ATOMIC_POSITIONS angstrom
Y 2.695 4.540 1.821
Y 2.695 4.540 12.456
Ga 2.695 3.106 5.279
Ga 2.695 3.106 8.999
Ga 2.695 5.973 5.279
Ga 2.695 5.973 8.999
Co 1.348 2.270 0.000
Co 1.348 2.270 3.569
Co 1.348 2.270 7.139
Co 2.695 4.540 7.139
Co 4.043 6.810 10.708
CELL_PARAMETERS angstrom
0.000 4.540 7.139
2.695 0.000 7.139
2.695 4.540 0.000

(7)
! Y3Ga3Co2, optimized geometry, DFT PBE; values from VASP
! crystal system	orthorhombic
&SYSTEM
  ibrav = 0, nat = 32, ntyp = 3
/
ATOMIC_SPECIES
Y 88.91 Y.upf
Ga 69.72 Ga.upf
Co 58.93 Co.upf
ATOMIC_POSITIONS angstrom
Y 0.264 1.566 0.729
Y 0.264 5.775 0.729
Y 1.242 3.670 3.686
Y 2.491 11.011 0.812
Y 3.469 8.907 3.604
Y 3.469 13.115 3.604
Y 3.998 1.566 2.145
Y 3.998 5.775 2.145
Y 4.976 3.670 4.937
Y 6.225 11.011 2.062
Y 7.203 8.907 5.019
Y 7.203 13.115 5.019
Ga 1.294 0.603 3.514
Ga 1.294 6.738 3.514
Ga 1.309 11.011 3.567
Ga 2.424 3.670 0.693
Ga 2.439 7.943 0.640
Ga 2.439 14.079 0.640
Ga 5.027 0.603 5.109
Ga 5.027 6.738 5.109
Ga 5.042 11.011 5.055
Ga 6.158 3.670 2.181
Ga 6.173 7.943 2.235
Ga 6.173 14.079 2.235
Co 0.942 8.863 2.253
Co 0.942 13.160 2.253
Co 2.791 1.522 5.127
Co 2.791 5.819 5.127
Co 4.675 8.863 0.621
Co 4.675 13.160 0.621
Co 6.525 1.522 3.496
Co 6.525 5.819 3.496
CELL_PARAMETERS angstrom
7.467 0.000 0.000
0.000 14.682 0.000
0.000 0.000 5.749

(8)
! Y4GaCo2, optimized geometry, DFT PBE; values from VASP
! crystal system	triclinic
&SYSTEM
  ibrav = 0, nat = 14, ntyp = 3
/
ATOMIC_SPECIES
Y 88.91 Y.upf
Ga 69.72 Ga.upf
Co 58.93 Co.upf
ATOMIC_POSITIONS angstrom
Y 0.000 0.000 0.000
Y -2.519 2.821 4.079
Y -1.665 -0.475 5.176
Y 0.109 3.489 1.347
Y 0.939 1.650 4.143
Y 1.795 -1.645 5.133
Y 3.369 0.002 2.078
Y 3.488 3.502 0.731
Ga -0.158 -1.032 2.740
Ga -1.035 2.260 6.526
Co -1.108 1.236 2.314
Co -0.252 -2.048 6.951
Co 2.094 4.128 3.327
Co 2.959 0.841 5.940
CELL_PARAMETERS angstrom
6.762 0.000 0.000
-1.708 6.588 0.000
-2.527 -3.292 7.185

Calculated values (eV/cell) of electronic total energy for the records, taken in order: -72.0 -60.5 -38.5 -72.1 -63.7 -64.3 -187.2 -89.3.
Calculated values (states/eV/f.u.) of Fermi-level density of states for the records, taken in order: 9.77 11.12 4.91 2.60 9.70 9.43 7.20 7.04.
Calculated values (eV per atom) of ΔH_f (0 K) for the records, taken in order: -0.51 -0.36 -0.41 -0.48 -0.35 -0.34 -0.51 -0.23.